[1]
Entry from Alexandria via LeMat-Bulk: a geometry-optimized Mg2ScAg structure (PBEsol).

Total energy in eV per atom: -3.456

Cell: 4.044 4.277 4.658 Å, 90.00 90.00 90.00°
Sites, in units of the cell vectors:
1 Mg 0.000 0.000 0.000
2 Mg 0.500 0.500 0.000
3 Sc 0.000 0.500 0.500
4 Ag 0.500 0.000 0.500

***

[2]
Entry from Alexandria via LeMat-Bulk: a geometry-optimized InNi22B6 structure (PBEsol).

E above lowest polymorph in eV per atom: 0.000

Cell: 7.333 7.333 7.333 Å, 60.00 60.00 60.00°
Sites, in units of the cell vectors:
1 In 0.000 0.000 0.000
2 Ni 0.089 0.414 0.748
3 Ni 0.089 0.748 0.414
4 Ni 0.089 0.748 0.748
5 Ni 0.139 0.139 0.139
6 Ni 0.139 0.139 0.583
7 Ni 0.139 0.583 0.139
8 Ni 0.371 0.371 0.371
9 Ni 0.371 0.371 0.886
10 Ni 0.371 0.886 0.371
11 Ni 0.414 0.089 0.748
12 Ni 0.414 0.748 0.089
13 Ni 0.414 0.748 0.748
14 Ni 0.500 0.500 0.500
15 Ni 0.583 0.139 0.139
16 Ni 0.748 0.089 0.414
17 Ni 0.748 0.089 0.748
18 Ni 0.748 0.414 0.089
19 Ni 0.748 0.414 0.748
20 Ni 0.748 0.748 0.089
21 Ni 0.748 0.748 0.414
22 Ni 0.750 0.750 0.750
23 Ni 0.886 0.371 0.371
24 B 0.022 0.022 0.478
25 B 0.022 0.478 0.022
26 B 0.022 0.478 0.478
27 B 0.478 0.022 0.022
28 B 0.478 0.022 0.478
29 B 0.478 0.478 0.022

***

[3]
Entry from Alexandria via LeMat-Bulk: a geometry-optimized Zn2HgW structure (PBEsol).

Total energy in eV per atom: -4.087

Cell: 9.326 9.326 9.326 Å, 17.67 17.67 17.67°
Sites, in units of the cell vectors:
1 Zn 0.245 0.245 0.245
2 Zn 0.755 0.755 0.755
3 Hg 0.000 0.000 0.000
4 W 0.500 0.500 0.500

***

[4]
Entry from Alexandria via LeMat-Bulk: a geometry-optimized LaTeAu2 structure (PBEsol).

Energy relative to the elements, uncorrected in eV/atom: -0.58

Cell: 5.891 5.891 5.891 Å, 136.63 136.63 63.00°
Sites, in units of the cell vectors:
1 La 0.000 0.000 0.000
2 Te 0.750 0.250 0.500
3 Au 0.250 0.750 0.500
4 Au 0.500 0.500 0.000

***

[5]
Entry from Alexandria via LeMat-Bulk: a geometry-optimized ZrScAs3 structure (PBEsol).

Total energy in eV per atom: -6.189

Cell: 5.051 5.051 5.051 Å, 90.00 90.00 90.00°
Sites, in units of the cell vectors:
1 Zr 0.000 0.000 0.000
2 Sc 0.500 0.500 0.500
3 As 0.000 0.000 0.500
4 As 0.000 0.500 0.000
5 As 0.500 0.000 0.000

***

[6]
Entry from Alexandria via LeMat-Bulk: a geometry-optimized ReIr3 structure (PBEsol).

E above lowest polymorph in eV per atom: 0.066

Cell: 9.033 9.033 9.033 Å, 17.26 17.26 17.26°
Sites, in units of the cell vectors:
1 Re 0.000 0.000 0.000
2 Ir 0.251 0.251 0.251
3 Ir 0.500 0.500 0.500
4 Ir 0.749 0.749 0.749